Computed, not measured: Pa3Si2B9 after structural relaxation at the PBE level of DFT.

DOS at the Fermi energy ... 6.1 states/eV/f.u.
Total magnetization ... 0.0 μB per cell
Formation energy (no corrections) ... -0.60 eV per formula unit
Raw total energy ... -0.2626 hartree per atom
SG ... Immm (71)

Lattice parameters (Å, degrees): 7.195 7.195 7.195 154.35 100.84 84.86
Fractional positions:
Pa1 0.000 0.000 0.000
Pa2 0.308 0.308 0.000
Pa3 0.692 0.692 0.000
Si1 0.289 0.500 0.789
Si2 0.711 0.500 0.211
B1 0.009 0.335 0.674
B2 0.091 0.832 0.258
B3 0.339 0.665 0.674
B4 0.426 0.168 0.258
B5 0.500 0.000 0.500
B6 0.574 0.832 0.742
B7 0.661 0.335 0.326
B8 0.909 0.168 0.742
B9 0.991 0.665 0.326